A geometry-optimized Ta2ReRh structure, computed with PBE.

Cell lengths 2.765, 2.765, 8.609 Å; angles 90.00, 90.00, 90.00 degrees
Atoms (fractional coordinates):
Ta 0.000 0.000 0.985
Ta 0.500 0.500 0.259
Re 0.000 0.000 0.523
Rh 0.500 0.500 0.733

Summary:
- Raw total energy: -10.97 eV/atom
- Space-group type: P4mm, No. 99
- DOS(E_F): 4.17 states/eV/cell